Entry from the Alexandria database: GeAsBr after structural relaxation (PBE).

Geometry as CIF:
```
data_GeAsBr
_chemical_formula_sum 'Ge2 As2 Br2'
_symmetry_space_group_name_H-M 'P m n 21'
_symmetry_Int_Tables_number 31
_symmetry_space_group_name_Hall 'P 2ac -2'
_cell_length_a 3.8360
_cell_length_b 7.5647
_cell_length_c 6.4722
_cell_angle_alpha 90.00
_cell_angle_beta 90.00
_cell_angle_gamma 90.00
loop_
_atom_site_label
_atom_site_type_symbol
_atom_site_fract_x
_atom_site_fract_y
_atom_site_fract_z
_atom_site_occupancy
Ge1 Ge 0.0000 0.0378 0.0000 1
As1 As 0.0000 0.1430 0.3676 1
Br1 Br 0.0000 0.3235 0.8435 1
```

calculated density	4.02	g/cm³
formation energy (no corrections)	-0.26	eV per atom
Fermi-level density of states	0.0	states/eV/f.u.